(1)
DFT (PBE) results for Pr4HoTe5 after structural relaxation.

Cell: 16.429 16.429 16.429 Å, 164.38 164.38 22.16°
Positions (direct):
Pr (0.105, 0.105, 0.000)
Pr (0.309, 0.309, 0.000)
Pr (0.691, 0.691, 0.000)
Pr (0.895, 0.895, 0.000)
Ho (0.500, 0.500, 0.000)
Te (0.000, 0.000, 0.000)
Te (0.205, 0.205, 0.000)
Te (0.407, 0.407, 0.000)
Te (0.593, 0.593, 0.000)
Te (0.795, 0.795, 0.000)

Summary:
The formation energy without anion corrections is -1.399 eV/atom. The spin magnetization is 0.0 μB/f.u. Its symmetry is I4/mmm.

***

(2)
DFT (PBE) results for CuPb2Au after structural relaxation.

Cell: 4.960 4.960 3.760 Å, 91.26 91.26 91.58°
Positions (direct):
Cu (0.000, 0.000, 0.000)
Pb (0.000, 0.500, 0.500)
Pb (0.500, 0.000, 0.500)
Au (0.500, 0.500, 0.000)

Summary:
The spin magnetization is 0.0 μB/f.u. Its symmetry is C2/m. The value obtained for the energy relative to the elements is 0.16 eV/atom. The distance to the lowest polymorph of the same formula is 121 meV per atom.